(1)
# CaIn2Co PBE-GGA optimized geometry
data_CaIn2Co
_symmetry_space_group_name_H-M 'P 1'
_symmetry_Int_Tables_number 1
_symmetry_space_group_name_Hall 'P 1'
_cell_length_a 3.4538
_cell_length_b 5.2178
_cell_length_c 9.8837
_cell_angle_alpha 90.00
_cell_angle_beta 90.00
_cell_angle_gamma 90.00
loop_
_atom_site_label
_atom_site_type_symbol
_atom_site_fract_x
_atom_site_fract_y
_atom_site_fract_z
Ca1 Ca 0.0000 0.0000 0.0000
Ca2 Ca 0.5000 0.5000 0.5000
In1 In 0.0000 0.5000 0.2077
In2 In 0.0000 0.5000 0.7923
In3 In 0.5000 0.0000 0.2923
In4 In 0.5000 0.0000 0.7077
Co1 Co 0.0000 0.0000 0.5000
Co2 Co 0.5000 0.5000 0.0000
# Crystal system ... orthorhombic
# Symmetry ... Immm (71)
# ΔE_f ... 0.00 eV/f.u.


(2)
# Si2Ni2Ru PBE-GGA optimized geometry
data_Si2Ni2Ru
_symmetry_space_group_name_H-M 'P 1'
_symmetry_Int_Tables_number 1
_symmetry_space_group_name_Hall 'P 1'
_cell_length_a 6.5027
_cell_length_b 6.5027
_cell_length_c 2.8295
_cell_angle_alpha 90.00
_cell_angle_beta 90.00
_cell_angle_gamma 90.00
loop_
_atom_site_label
_atom_site_type_symbol
_atom_site_fract_x
_atom_site_fract_y
_atom_site_fract_z
Si1 Si 0.1515 0.3485 0.0000
Si2 Si 0.3485 0.8485 0.0000
Si3 Si 0.6515 0.1515 0.0000
Si4 Si 0.8485 0.6515 0.0000
Ni1 Ni 0.1413 0.6413 0.5000
Ni2 Ni 0.3587 0.1413 0.5000
Ni3 Ni 0.6413 0.8587 0.5000
Ni4 Ni 0.8587 0.3587 0.5000
Ru1 Ru 0.0000 0.0000 0.0000
Ru2 Ru 0.5000 0.5000 0.0000
# Crystal system ... tetragonal
# Symmetry ... P4/mbm (127)
# Raw formation energy ... -0.420 eV per atom